Record 1
Entry from Alexandria via LeMat-Bulk: crystalline SiAgPt2 at its relaxed geometry (GGA-PBE).

formation energy (no corrections)	-0.13	eV/atom

Cell lengths 4.0408, 4.0408, 3.7785 Å; angles 90.00, 90.00, 90.00 degrees
Closest atoms and distances in Å follow each position.
Sites, in units of the cell vectors:
Si 0.0000 0.0000 0.0000  8 Pt 2.77, 4 Ag 2.86
Ag 0.5000 0.5000 0.0000  8 Pt 2.77, 4 Si 2.86
Pt 0.0000 0.5000 0.5000  4 Si 2.77, 4 Ag 2.77, 4 Pt 2.86
Pt 0.5000 0.0000 0.5000  4 Si 2.77, 4 Ag 2.77, 4 Pt 2.86

Record 2
Entry from Alexandria via LeMat-Bulk: crystalline PmTc2 at its relaxed geometry (GGA-PBE).

excess energy over the best structure of this formula in the dataset	163	meV per atom
DFT formation energy	138	meV per atom

Cell lengths 3.1466, 3.1466, 11.8832 Å; angles 90.00, 90.00, 90.00 degrees
Closest atoms and distances in Å follow each position.
Sites, in units of the cell vectors:
Pm 0.0000 0.0000 0.0000  4 Pm 3.15, 8 Tc 3.23
Pm 0.5000 0.5000 0.5000  4 Pm 3.15, 8 Tc 3.23
Tc 0.0000 0.0000 0.3026  4 Tc 2.55
Tc 0.0000 0.0000 0.6974  4 Tc 2.55
Tc 0.5000 0.5000 0.1974  4 Tc 2.55
Tc 0.5000 0.5000 0.8026  4 Tc 2.55

Record 3
Entry from Alexandria via LeMat-Bulk: crystalline Pa2Pd2Se7 at its relaxed geometry (GGA-PBE).

formation energy (no corrections)	-0.85	eV/atom
excess energy over the best structure of this formula in the dataset	0	meV per atom

Cell lengths 9.1140, 9.1140, 9.1140 Å; angles 60.00, 60.00, 60.00 degrees
Closest atoms and distances in Å follow each position.
Sites, in units of the cell vectors:
Pa 0.0000 0.0000 0.0000  8 Se 2.79-3.00
Pa 0.0000 0.0000 0.5000  8 Se 2.79-3.00
Pa 0.0000 0.5000 0.0000  8 Se 2.79-3.00
Pa 0.5000 0.0000 0.0000  8 Se 2.79-3.00
Pd 0.0000 0.5000 0.5000  6 Se 2.61
Pd 0.5000 0.0000 0.5000  6 Se 2.61
Pd 0.5000 0.5000 0.0000  6 Se 2.61
Pd 0.5000 0.5000 0.5000  6 Se 2.61
Se 0.1250 0.1250 0.1250  4 Pa 2.79
Se 0.1509 0.1509 0.5991  2 Pd 2.61
Se 0.1509 0.5991 0.1509  2 Pd 2.61
Se 0.1509 0.5991 0.5991  2 Pd 2.61
Se 0.4009 0.4009 0.8491  2 Pd 2.61
Se 0.4009 0.8491 0.4009  2 Pd 2.61
Se 0.4009 0.8491 0.8491  2 Pd 2.61
Se 0.5991 0.1509 0.1509  2 Pd 2.61
Se 0.5991 0.1509 0.5991  2 Pd 2.61
Se 0.5991 0.5991 0.1509  2 Pd 2.61
Se 0.8491 0.4009 0.4009  2 Pd 2.61
Se 0.8491 0.4009 0.8491  2 Pd 2.61
Se 0.8491 0.8491 0.4009  2 Pd 2.61
Se 0.8750 0.8750 0.8750  4 Pa 2.79

Record 4
Entry from Alexandria via LeMat-Bulk: crystalline Li2Nd3Ga9 at its relaxed geometry (GGA-PBE).

DFT formation energy	-546	meV per atom

Cell lengths 8.4359, 8.4359, 8.4359 Å; angles 150.26, 109.07, 78.75 degrees
Closest atoms and distances in Å follow each position.
Sites, in units of the cell vectors:
Li 0.2092 0.0000 0.2092  6 Ga 2.64-2.81
Li 0.7908 0.0000 0.7908  6 Ga 2.64-2.81
Nd 0.1863 0.1863 0.0000  12 Ga 3.16-3.53, 2 Li 3.18
Nd 0.5000 0.5000 0.0000  12 Ga 3.22-3.30, 4 Li 3.58
Nd 0.8137 0.8137 0.0000  12 Ga 3.16-3.53, 2 Li 3.18
Ga 0.0000 0.5000 0.5000  4 Ga 2.85, 4 Li 2.98
Ga 0.0887 0.3627 0.7261  4 Ga 2.59-2.85, 2 Li 2.81
Ga 0.2042 0.8365 0.3677  4 Ga 2.59-2.76, 1 Li 2.64
Ga 0.3634 0.6373 0.7261  4 Ga 2.59-2.85, 2 Li 2.81
Ga 0.4688 0.8365 0.6323  4 Ga 2.59-2.76, 1 Li 2.64
Ga 0.5312 0.1635 0.3677  4 Ga 2.59-2.76, 1 Li 2.64
Ga 0.6366 0.3627 0.2739  4 Ga 2.59-2.85, 2 Li 2.81
Ga 0.7958 0.1635 0.6323  4 Ga 2.59-2.76, 1 Li 2.64
Ga 0.9113 0.6373 0.2739  4 Ga 2.59-2.85, 2 Li 2.81

no.,N(E_F) (states/eV per cell),electronic total energy (eV/atom),magnetic moment (μB/f.u.)
1,2.1,-5.221,0.0
2,6.1,-8.356,0.0
3,16.2,-5.738,0.5
4,6.8,-3.787,0.0